No. 1
A relaxed structure of ZnO2F3, computed with PBE.

a = 13.669 Å, b = 3.853 Å, c = 3.177 Å
α = 90.00°, β = 99.53°, γ = 90.00°
Space group C2/m (No. 12)
Symmetry-distinct sites (fractional):
Zn1 0.000 0.000 0.000 [2 per cell]
O1 0.249 0.500 0.326 [4 per cell]
F1 0.000 0.500 0.000 [2 per cell]
F2 0.098 0.000 0.573 [4 per cell]

Output
The formation energy (no corrections) comes out at -0.35 eV per atom. Its calculated density is 3.11 Mg/m³. The value obtained for the total energy is -3.153 eV/atom.

No. 2
A relaxed structure of ZnOF2, computed with PBE.

a = 3.335 Å, b = 3.863 Å, c = 9.456 Å
α = 99.36°, β = 93.16°, γ = 90.16°
Space group P-1 (No. 2)
Symmetry-distinct sites (fractional):
Zn1 0.140 0.197 0.365 [2 per cell]
O1 0.098 0.583 0.052 [2 per cell]
F1 0.201 0.727 0.441 [2 per cell]
F2 0.378 0.845 0.740 [2 per cell]

Output
The formation energy (no corrections) comes out at -1.67 eV per atom. Its calculated density is 3.31 Mg/m³. The relative energy among the computed polymorphs comes out at 8 meV per atom. The value obtained for the total energy is -4.163 eV/atom.

No. 3
A relaxed structure of ZnO2F2, computed with PBE.

a = 3.103 Å, b = 6.657 Å, c = 8.502 Å
α = 106.31°, β = 96.90°, γ = 96.14°
Space group P-1 (No. 2)
Symmetry-distinct sites (fractional):
Zn1 0.165 0.356 0.341 [2 per cell]
O1 0.019 0.940 0.273 [2 per cell]
O2 0.032 0.807 0.141 [2 per cell]
F1 0.287 0.666 0.493 [2 per cell]
F2 0.391 0.677 0.805 [2 per cell]

Output
The formation energy (no corrections) comes out at -1.28 eV per atom. Its calculated density is 2.72 Mg/m³. The value obtained for the total energy is -4.268 eV/atom.

No. 4
A relaxed structure of Zn3O2F, computed with PBE.

a = 3.379 Å, b = 10.197 Å, c = 4.785 Å
α = 90.00°, β = 90.00°, γ = 90.00°
Space group Imm2 (No. 44)
Symmetry-distinct sites (fractional):
Zn1 0.000 0.000 0.000 [2 per cell]
Zn2 0.000 0.318 0.935 [4 per cell]
O1 0.000 0.169 0.210 [4 per cell]
F1 0.000 0.500 0.199 [2 per cell]

Output
The formation energy (no corrections) comes out at -1.36 eV per atom. Its calculated density is 4.98 Mg/m³. The value obtained for the total energy is -3.963 eV/atom.

No. 5
A relaxed structure of ZnOF2, computed with PBE.

a = 5.290 Å, b = 5.290 Å, c = 9.950 Å
α = 90.00°, β = 90.00°, γ = 90.00°
Space group I-42d (No. 122)
Symmetry-distinct sites (fractional):
Zn1 0.000 0.000 0.000 [4 per cell]
O1 0.000 0.000 0.500 [4 per cell]
F1 0.121 0.250 0.125 [8 per cell]

Output
The formation energy (no corrections) comes out at -0.85 eV per atom. Its calculated density is 2.85 Mg/m³. The relative energy among the computed polymorphs comes out at 830 meV per atom. The value obtained for the total energy is -3.341 eV/atom.

No. 6
A relaxed structure of ZnOF2, computed with PBE.

a = 3.200 Å, b = 3.204 Å, c = 13.051 Å
α = 86.11°, β = 83.23°, γ = 60.05°
Space group P-1 (No. 2)
Symmetry-distinct sites (fractional):
Zn1 0.084 0.164 0.171 [2 per cell]
O1 0.023 0.916 0.544 [2 per cell]
F1 0.215 0.166 0.903 [2 per cell]
F2 0.384 0.493 0.246 [2 per cell]

Output
The formation energy (no corrections) comes out at -1.67 eV per atom. Its calculated density is 3.44 Mg/m³. The relative energy among the computed polymorphs comes out at 4 meV per atom. The value obtained for the total energy is -4.166 eV/atom.

No. 7
A relaxed structure of Zn2O2F, computed with PBE.

a = 3.793 Å, b = 3.793 Å, c = 10.613 Å
α = 90.00°, β = 90.00°, γ = 90.00°
Space group I4/mmm (No. 139)
Symmetry-distinct sites (fractional):
Zn1 0.000 0.000 0.184 [4 per cell]
O1 0.000 0.500 0.250 [4 per cell]
F1 0.000 0.000 0.000 [2 per cell]

Output
The formation energy (no corrections) comes out at -1.37 eV per atom. Its calculated density is 3.95 Mg/m³. The value obtained for the total energy is -4.237 eV/atom.

No. 8
A relaxed structure of ZnO2F2, computed with PBE.

a = 4.096 Å, b = 4.096 Å, c = 3.821 Å
α = 90.00°, β = 90.00°, γ = 90.00°
Space group P4/mmm (No. 123)
Symmetry-distinct sites (fractional):
Zn1 0.000 0.000 0.000 [1 per cell]
O1 0.000 0.500 0.000 [2 per cell]
F1 0.000 0.000 0.500 [1 per cell]
F2 0.500 0.500 0.500 [1 per cell]

Output
The formation energy (no corrections) comes out at -0.13 eV per atom. Its calculated density is 3.51 Mg/m³. The value obtained for the total energy is -3.112 eV/atom.